The following is a PBE calculation of crystalline Na2AcAu4 at its relaxed geometry, from the Alexandria database.

## Properties
- Space group: No. 71
- N(E_F): 0.355 states/eV per atom
- ΔE_f: -501 meV per atom

Cell lengths 10.099, 10.099, 10.099 Å; angles 157.78, 152.53, 35.61 degrees
Fractional coordinates of all 7 atoms:
Na (0.195, 0.195, 0.000)
Na (0.805, 0.805, 0.000)
Ac (0.500, 0.000, 0.500)
Au (0.072, 0.572, 0.500)
Au (0.355, 0.355, 0.000)
Au (0.645, 0.645, 0.000)
Au (0.928, 0.428, 0.500)

---

The following is a PBE calculation of crystalline Ac12Os3O5 at its relaxed geometry, from the Alexandria database.

## Properties
- Space group: No. 230
- N(E_F): 0.708 states/eV per atom
- Energy relative to the elements, uncorrected: -1.24 eV per atom

Cell lengths 14.421, 14.421, 14.421 Å; angles 109.47, 109.47, 109.47 degrees
Fractional coordinates of all 80 atoms:
Ac (0.027, 0.210, 0.122)
Ac (0.027, 0.317, 0.905)
Ac (0.088, 0.710, 0.683)
Ac (0.088, 0.878, 0.405)
Ac (0.095, 0.622, 0.412)
Ac (0.095, 0.973, 0.683)
Ac (0.122, 0.027, 0.210)
Ac (0.122, 0.595, 0.912)
Ac (0.183, 0.210, 0.588)
Ac (0.183, 0.473, 0.595)
Ac (0.210, 0.122, 0.027)
Ac (0.210, 0.588, 0.183)
Ac (0.290, 0.317, 0.912)
Ac (0.290, 0.473, 0.378)
Ac (0.317, 0.905, 0.027)
Ac (0.317, 0.912, 0.290)
Ac (0.378, 0.290, 0.473)
Ac (0.378, 0.588, 0.905)
Ac (0.405, 0.088, 0.878)
Ac (0.405, 0.817, 0.527)
Ac (0.412, 0.095, 0.622)
Ac (0.412, 0.817, 0.790)
Ac (0.473, 0.378, 0.290)
Ac (0.473, 0.595, 0.183)
Ac (0.527, 0.405, 0.817)
Ac (0.527, 0.622, 0.710)
Ac (0.588, 0.183, 0.210)
Ac (0.588, 0.905, 0.378)
Ac (0.595, 0.183, 0.473)
Ac (0.595, 0.912, 0.122)
Ac (0.622, 0.412, 0.095)
Ac (0.622, 0.710, 0.527)
Ac (0.683, 0.088, 0.710)
Ac (0.683, 0.095, 0.973)
Ac (0.710, 0.527, 0.622)
Ac (0.710, 0.683, 0.088)
Ac (0.790, 0.412, 0.817)
Ac (0.790, 0.878, 0.973)
Ac (0.817, 0.527, 0.405)
Ac (0.817, 0.790, 0.412)
Ac (0.878, 0.405, 0.088)
Ac (0.878, 0.973, 0.790)
Ac (0.905, 0.027, 0.317)
Ac (0.905, 0.378, 0.588)
Ac (0.912, 0.122, 0.595)
Ac (0.912, 0.290, 0.317)
Ac (0.973, 0.683, 0.095)
Ac (0.973, 0.790, 0.878)
Os (0.125, 0.250, 0.375)
Os (0.125, 0.375, 0.750)
Os (0.250, 0.375, 0.125)
Os (0.250, 0.875, 0.625)
Os (0.375, 0.125, 0.250)
Os (0.375, 0.750, 0.125)
Os (0.625, 0.250, 0.875)
Os (0.625, 0.875, 0.750)
Os (0.750, 0.125, 0.375)
Os (0.750, 0.625, 0.875)
Os (0.875, 0.625, 0.250)
Os (0.875, 0.750, 0.625)
O (0.000, 0.000, 0.000)
O (0.000, 0.000, 0.500)
O (0.000, 0.500, 0.000)
O (0.000, 0.500, 0.500)
O (0.125, 0.750, 0.875)
O (0.125, 0.875, 0.250)
O (0.250, 0.125, 0.875)
O (0.250, 0.625, 0.375)
O (0.375, 0.250, 0.625)
O (0.375, 0.625, 0.750)
O (0.500, 0.000, 0.000)
O (0.500, 0.000, 0.500)
O (0.500, 0.500, 0.000)
O (0.500, 0.500, 0.500)
O (0.625, 0.375, 0.250)
O (0.625, 0.750, 0.375)
O (0.750, 0.375, 0.625)
O (0.750, 0.875, 0.125)
O (0.875, 0.125, 0.750)
O (0.875, 0.250, 0.125)

---

The following is a PBE calculation of crystalline TbCeHgRu at its relaxed geometry, from the Alexandria database.

## Properties
- Space group: No. 216
- N(E_F): 1.490 states/eV per atom
- Distance to the lowest polymorph of the same formula: 132 meV per atom
- ΔE_f: -265 meV per atom

Cell lengths 5.096, 5.096, 5.096 Å; angles 60.00, 60.00, 60.00 degrees
Fractional coordinates of all 4 atoms:
Tb (0.000, 0.000, 0.000)
Ce (0.500, 0.500, 0.500)
Hg (0.750, 0.750, 0.750)
Ru (0.250, 0.250, 0.250)

---

The following is a PBE calculation of crystalline AcTbDyTh at its relaxed geometry, from the Alexandria database.

## Properties
- Space group: No. 99
- N(E_F): 1.080 states/eV per atom
- Distance to the lowest polymorph of the same formula: 0 meV per atom
- ΔE_f: 40 meV per atom

Cell lengths 3.689, 3.689, 10.248 Å; angles 90.00, 90.00, 90.00 degrees
Fractional coordinates of all 4 atoms:
Ac (0.000, 0.000, 0.000)
Tb (0.500, 0.500, 0.272)
Dy (0.500, 0.500, 0.730)
Th (0.000, 0.000, 0.501)

---

The following is a PBE calculation of crystalline La2Nd4SmTh at its relaxed geometry, from the Alexandria database.

## Properties
- Space group: No. 10
- N(E_F): 1.671 states/eV per atom
- ΔE_f: 30 meV per atom

Cell lengths 6.378, 3.671, 12.167 Å; angles 90.00, 99.99, 90.00 degrees
Fractional coordinates of all 8 atoms:
La (0.000, 0.000, 0.000)
La (0.000, 0.500, 0.500)
Nd (0.254, 0.000, 0.749)
Nd (0.258, 0.500, 0.257)
Nd (0.742, 0.500, 0.743)
Nd (0.746, 0.000, 0.251)
Sm (0.500, 0.500, 0.000)
Th (0.500, 0.000, 0.500)

---

The following is a PBE calculation of crystalline Cs2CrGeS4 at its relaxed geometry, from the Alexandria database.

## Properties
- Space group: No. 70
- N(E_F): 0.015 states/eV per atom
- Energy relative to the elements, uncorrected: -0.81 eV per atom

Cell lengths 13.962, 12.588, 7.622 Å; angles 83.53, 63.62, 32.85 degrees
Fractional coordinates of all 16 atoms:
Cs (0.052, 0.052, 0.698)
Cs (0.302, 0.302, 0.948)
Cs (0.698, 0.698, 0.052)
Cs (0.948, 0.948, 0.302)
Cr (0.125, 0.125, 0.125)
Cr (0.875, 0.875, 0.875)
Ge (0.375, 0.375, 0.375)
Ge (0.625, 0.625, 0.625)
S (0.025, 0.319, 0.393)
S (0.237, 0.607, 0.681)
S (0.319, 0.025, 0.763)
S (0.393, 0.763, 0.025)
S (0.607, 0.237, 0.975)
S (0.681, 0.975, 0.237)
S (0.763, 0.393, 0.319)
S (0.975, 0.681, 0.607)

---

The following is a PBE calculation of crystalline SmDy3TmSc at its relaxed geometry, from the Alexandria database.

## Properties
- Space group: No. 63
- N(E_F): 1.447 states/eV per atom
- ΔE_f: 36 meV per atom

Cell lengths 7.818, 7.818, 9.935 Å; angles 90.00, 90.00, 143.16 degrees
Fractional coordinates of all 12 atoms:
Sm (0.003, 0.997, 0.750)
Sm (0.997, 0.003, 0.250)
Dy (0.167, 0.833, 0.501)
Dy (0.167, 0.833, 0.999)
Dy (0.331, 0.669, 0.750)
Dy (0.669, 0.331, 0.250)
Dy (0.833, 0.167, 0.001)
Dy (0.833, 0.167, 0.499)
Tm (0.500, 0.500, 0.000)
Tm (0.500, 0.500, 0.500)
Sc (0.332, 0.668, 0.250)
Sc (0.668, 0.332, 0.750)

---

The following is a PBE calculation of crystalline ScRuPb3 at its relaxed geometry, from the Alexandria database.

## Properties
- Space group: No. 221
- N(E_F): 0.632 states/eV per atom
- Distance to the lowest polymorph of the same formula: 0 meV per atom
- ΔE_f: 447 meV per atom

Cell lengths 5.251, 5.251, 5.251 Å; angles 90.00, 90.00, 90.00 degrees
Fractional coordinates of all 5 atoms:
Sc (0.000, 0.000, 0.000)
Ru (0.500, 0.500, 0.500)
Pb (0.000, 0.500, 0.500)
Pb (0.500, 0.000, 0.500)
Pb (0.500, 0.500, 0.000)

---

Across the entries above, uncorrected energy takes the values -3.337, -6.631, -5.301, -5.150, -5.103, -4.871, -4.852, -4.900 eV per atom, respectively.